Record 1
## La2PrNdDy4 (PBE)

Data for crystalline La2PrNdDy4 at its relaxed geometry.

abc: 3.6497 6.3069 11.9144
angles: 79.75 90.00 90.00
Atoms (fractional coordinates):
La  0.5000  0.0000  0.5000
Dy  0.5000  0.7499  0.2508
Dy  0.0000  0.2505  0.2501
Dy  0.5000  0.2501  0.7492
Nd  0.0000  0.5000  0.5000
La  0.0000  0.0000  0.0000
Pr  0.5000  0.5000  0.0000
Dy  0.0000  0.7495  0.7499

Calculated values
The crystal system is monoclinic. The energy of formation from the pure elements comes out at 0.337 kcal/mol of atoms.



Record 2
## LaPr2Nd2Dy2 (PBE)

Data for crystalline LaPr2Nd2Dy2 at its relaxed geometry.

abc: 5.1759 6.3396 8.2097
angles: 97.25 90.00 114.09
Atoms (fractional coordinates):
Dy  0.5723  0.1446  0.7108
Pr  0.2859  0.5719  0.8551
La  0.0000  0.0000  0.0000
Pr  0.7141  0.4281  0.1449
Nd  0.1416  0.2833  0.4298
Nd  0.8584  0.7167  0.5702
Dy  0.4277  0.8554  0.2892

Calculated values
The crystal system is monoclinic. The energy of formation from the pure elements comes out at 0.436 kcal/mol of atoms.